Below is a relaxed Y2Hg3Pd4 crystal, with properties calculated at the PBE-GGA level.

Cell: 5.814 7.329 9.302 Å, 90.00 108.21 90.00°
Element x y z (fractional)
Y (0.104, 0.587, 0.207)
Y (0.896, 0.413, 0.793)
Y (0.396, 0.087, 0.793)
Y (0.604, 0.913, 0.207)
Hg (0.000, 0.000, 0.000)
Hg (0.500, 0.500, 0.000)
Hg (0.511, 0.750, 0.523)
Hg (0.989, 0.250, 0.477)
Hg (0.489, 0.250, 0.477)
Hg (0.011, 0.750, 0.523)
Pd (0.672, 0.750, 0.844)
Pd (0.828, 0.250, 0.156)
Pd (0.328, 0.250, 0.156)
Pd (0.172, 0.750, 0.844)
Pd (0.157, 0.967, 0.313)
Pd (0.843, 0.033, 0.687)
Pd (0.343, 0.467, 0.687)
Pd (0.657, 0.533, 0.313)

Summary:
- SG = No. 64
- energy of formation (kJ/mol of formula units) = -453
- V (A^3/atom) = 20.92

Below is a relaxed Y3Hg2Pd8 crystal, with properties calculated at the PBE-GGA level.

Cell: 5.392 5.392 10.786 Å, 75.52 75.52 60.00°
Element x y z (fractional)
Y (0.000, 0.000, 0.000)
Y (0.811, 0.811, 0.566)
Y (0.189, 0.189, 0.434)
Hg (0.636, 0.636, 0.092)
Hg (0.364, 0.364, 0.908)
Pd (0.722, 0.722, 0.834)
Pd (0.278, 0.278, 0.166)
Pd (0.226, 0.730, 0.313)
Pd (0.730, 0.226, 0.313)
Pd (0.730, 0.730, 0.313)
Pd (0.270, 0.774, 0.687)
Pd (0.774, 0.270, 0.687)
Pd (0.270, 0.270, 0.687)

Summary:
- SG = No. 166
- energy of formation (kJ/mol of formula units) = -624
- V (A^3/atom) = 20.00

- What is the formula in the first record?
  Y2Hg3Pd4

- Which of these has the lowest V?
  Y3Hg2Pd8

Please write out number 1 again, unchanged.
Below is a relaxed Y2Hg3Pd4 crystal, with properties calculated at the PBE-GGA level.

Cell: 5.814 7.329 9.302 Å, 90.00 108.21 90.00°
Element x y z (fractional)
Y (0.104, 0.587, 0.207)
Y (0.896, 0.413, 0.793)
Y (0.396, 0.087, 0.793)
Y (0.604, 0.913, 0.207)
Hg (0.000, 0.000, 0.000)
Hg (0.500, 0.500, 0.000)
Hg (0.511, 0.750, 0.523)
Hg (0.989, 0.250, 0.477)
Hg (0.489, 0.250, 0.477)
Hg (0.011, 0.750, 0.523)
Pd (0.672, 0.750, 0.844)
Pd (0.828, 0.250, 0.156)
Pd (0.328, 0.250, 0.156)
Pd (0.172, 0.750, 0.844)
Pd (0.157, 0.967, 0.313)
Pd (0.843, 0.033, 0.687)
Pd (0.343, 0.467, 0.687)
Pd (0.657, 0.533, 0.313)

Summary:
- SG = No. 64
- energy of formation (kJ/mol of formula units) = -453
- V (A^3/atom) = 20.92